Compound: Y2CdAs
Source: Alexandria via LeMat-Bulk
Functional: meta-GGA SCAN
Structure: single point on PBEsol structure

Properties
E_form = -0.459 eV/atom
SG = No. 160
crystal system = trigonal
electronic total energy = -27.03 eV/atom
V = 110 Å³/cell
energy relative to the lowest polymorph listed for this composition = 518 meV per atom

a = 3.983 Å, b = 3.983 Å, c = 8.356 Å
α = 76.21°, β = 76.21°, γ = 60.00°
Positions (direct):
As  0.506  0.506  0.481
Y  0.988  0.988  0.036
Y  0.774  0.774  0.677
Cd  0.231  0.231  0.306